[1]
CeMg3Ru | PBE | optimized geometry

Cell: 6.8758 6.8758 6.8389 Å, 106.70 115.35 106.76°
Last column: nearest neighbours and their distance in Å.
Fractional positions:
Ce  0.7278  0.0347  0.7625  1 Ru 2.27
Ce  0.2722  0.9653  0.2375  1 Ru 2.27
Mg  0.8668  0.1157  0.3461  2 Ru 2.68-2.89, 1 Mg 2.98
Mg  0.2303  0.4792  0.3461  2 Ru 2.68-2.89, 1 Mg 2.98
Mg  0.7697  0.5208  0.6539  2 Ru 2.68-2.89, 1 Mg 2.98
Mg  0.6890  0.4357  0.1246  2 Ru 2.81-2.85, 1 Mg 2.97
Mg  0.1332  0.8843  0.6539  2 Ru 2.68-2.89, 1 Mg 2.98
Mg  0.3110  0.5643  0.8754  2 Ru 2.81-2.85, 1 Mg 2.97
Ru  0.6234  0.7729  0.3963  1 Ce 2.27
Ru  0.3766  0.2271  0.6037  1 Ce 2.27

Computed properties:
SG: C2/m
D(E_F), states/eV per cell: 10.11
DFT formation energy, eV/atom: -0.09



[2]
PmTmZrN3 | PBE | optimized geometry

Cell: 3.4037 5.7956 8.8939 Å, 101.69 90.00 90.00°
Last column: nearest neighbours and their distance in Å.
Fractional positions:
Pm  0.7500  0.6572  0.6987  7 N 2.60-2.66
Pm  0.2500  0.3428  0.3013  7 N 2.60-2.66
Tm  0.2500  0.1450  0.6411  5 N 2.25-2.36
Tm  0.7500  0.8550  0.3589  5 N 2.25-2.36
Zr  0.2500  0.7649  0.0416  6 N 2.21-2.42
Zr  0.7500  0.2351  0.9584  6 N 2.21-2.42
N  0.2500  0.7542  0.4989  3 Tm 2.25-2.36
N  0.7500  0.0356  0.1455  3 Zr 2.21-2.37, 1 Tm 2.35
N  0.7500  0.5494  0.1495  3 Zr 2.23-2.42, 1 Tm 2.30
N  0.7500  0.2458  0.5011  3 Tm 2.25-2.36
N  0.2500  0.4506  0.8505  3 Zr 2.23-2.42, 1 Tm 2.30
N  0.2500  0.9644  0.8545  3 Zr 2.21-2.37, 1 Tm 2.35

Computed properties:
SG: P2_1/m
Energy relative to the elements, uncorrected, eV/atom: -1.4881
D(E_F), states/eV per cell: 4.24



[3]
DyPuNp2Se4 | PBE | optimized geometry

Cell: 4.1014 7.1068 7.1291 Å, 109.64 90.00 90.00°
Last column: nearest neighbours and their distance in Å.
Fractional positions:
Dy  0.0000  0.0000  0.0000  6 Se 2.88-2.89
Pu  0.5000  0.5000  0.0000  6 Se 2.91
Np  0.5000  0.0000  0.5000  6 Se 2.89-2.91
Np  0.0000  0.5000  0.5000  6 Se 2.91-2.94
Se  0.5000  0.2478  0.2483  2 Dy 2.89, 3 Np 2.91, 1 Pu 2.91
Se  0.5000  0.7522  0.7517  2 Dy 2.89, 3 Np 2.91, 1 Pu 2.91
Se  0.0000  0.2466  0.7511  1 Dy 2.88, 3 Np 2.89-2.94, 2 Pu 2.91
Se  0.0000  0.7534  0.2489  1 Dy 2.88, 3 Np 2.89-2.94, 2 Pu 2.91

Computed properties:
SG: P2/m
Energy relative to the elements, uncorrected, eV/atom: -1.3326
D(E_F), states/eV per cell: 30.07



[4]
CrTcCl2 | PBE | optimized geometry

Cell: 3.2075 3.2075 8.1718 Å, 90.00 90.00 124.11°
Last column: nearest neighbours and their distance in Å.
Fractional positions:
Cr  0.5000  0.5000  0.2500  4 Cl 2.61
Tc  0.5000  0.5000  0.7500  4 Cl 2.46
Cl  0.0000  0.0000  0.9890  2 Tc 2.46, 2 Cr 2.61
Cl  0.0000  0.0000  0.5110  2 Tc 2.46, 2 Cr 2.61

Computed properties:
SG: Cmmm
Energy relative to the elements, uncorrected, eV/atom: 0.4916
D(E_F), states/eV per cell: 3.39



[5]
AcPm5Sm2 | PBE | optimized geometry

Cell: 6.5785 12.3643 15.0963 Å, 92.75 77.42 74.57°
Last column: nearest neighbours and their distance in Å.
Fractional positions:
Ac  0.8465  0.1182  0.3848  10 Pm 3.54-3.81, 2 Sm 3.58
Ac  0.3496  0.3818  0.1152  10 Pm 3.54-3.81, 2 Sm 3.58
Ac  0.6504  0.6182  0.8848  10 Pm 3.54-3.81, 2 Sm 3.58
Ac  0.1535  0.8818  0.6152  10 Pm 3.54-3.81, 2 Sm 3.58
Pm  0.1956  0.9903  0.1624  3 Sm 3.48-3.77, 5 Pm 3.55-3.73, 1 Ac 3.64
Pm  0.2978  0.0910  0.4825  4 Pm 3.16-3.52
Pm  0.7895  0.1793  0.6400  5 Pm 3.48-3.73, 2 Sm 3.63-3.80, 2 Ac 3.77-3.81
Pm  0.3715  0.1892  0.2821  2 Pm 3.30-3.56, 3 Sm 3.53-3.64, 1 Ac 3.55
Pm  0.8427  0.3108  0.2179  2 Pm 3.30-3.56, 3 Sm 3.53-3.64, 1 Ac 3.55
Pm  0.2751  0.1554  0.9694  4 Sm 3.44-3.67, 4 Pm 3.45-3.66, 1 Ac 3.68
Pm  0.3999  0.3446  0.5306  4 Sm 3.44-3.67, 4 Pm 3.45-3.66, 1 Ac 3.68
Pm  0.3483  0.5097  0.3376  3 Sm 3.48-3.77, 5 Pm 3.55-3.73, 1 Ac 3.64
Pm  0.1287  0.5910  0.9825  4 Pm 3.16-3.52
Pm  0.6089  0.3207  0.8600  5 Pm 3.48-3.73, 2 Sm 3.63-3.80, 2 Ac 3.77-3.81
Pm  0.3911  0.6793  0.1400  5 Pm 3.48-3.73, 2 Sm 3.63-3.80, 2 Ac 3.77-3.81
Pm  0.8713  0.4090  0.0175  4 Pm 3.16-3.52
Pm  0.6517  0.4903  0.6624  3 Sm 3.48-3.77, 5 Pm 3.55-3.73, 1 Ac 3.64
Pm  0.6001  0.6554  0.4694  4 Sm 3.44-3.67, 4 Pm 3.45-3.66, 1 Ac 3.68
Pm  0.7249  0.8446  0.0306  4 Sm 3.44-3.67, 4 Pm 3.45-3.66, 1 Ac 3.68
Pm  0.1573  0.6892  0.7821  2 Pm 3.30-3.56, 3 Sm 3.53-3.64, 1 Ac 3.55
Pm  0.6285  0.8108  0.7179  2 Pm 3.30-3.56, 3 Sm 3.53-3.64, 1 Ac 3.55
Pm  0.2105  0.8207  0.3600  5 Pm 3.48-3.73, 2 Sm 3.63-3.80, 2 Ac 3.77-3.81
Pm  0.7022  0.9090  0.5175  4 Pm 3.16-3.52
Pm  0.8044  0.0097  0.8376  3 Sm 3.48-3.77, 5 Pm 3.55-3.73, 1 Ac 3.64
Sm  0.2985  0.0994  0.7307  1 Sm 3.57, 1 Ac 3.58, 8 Pm 3.60-3.93
Sm  0.7600  0.1157  0.0612  7 Pm 3.44-3.67, 1 Ac 3.58, 1 Sm 3.70
Sm  0.9368  0.3843  0.4388  7 Pm 3.44-3.67, 1 Ac 3.58, 1 Sm 3.70
Sm  0.8714  0.5994  0.2307  1 Sm 3.57, 1 Ac 3.58, 8 Pm 3.60-3.93
Sm  0.1286  0.4006  0.7693  1 Sm 3.57, 1 Ac 3.58, 8 Pm 3.60-3.93
Sm  0.0632  0.6157  0.5612  7 Pm 3.44-3.67, 1 Ac 3.58, 1 Sm 3.70
Sm  0.2400  0.8843  0.9388  7 Pm 3.44-3.67, 1 Ac 3.58, 1 Sm 3.70
Sm  0.7015  0.9006  0.2693  1 Sm 3.57, 1 Ac 3.58, 8 Pm 3.60-3.93

Computed properties:
SG: C2/c
D(E_F), states/eV per cell: 47.90
DFT formation energy, eV/atom: 0.12



[6]
TcOsAu | PBE | optimized geometry

Cell: 4.3739 4.3739 2.8791 Å, 90.00 90.00 120.00°
Last column: nearest neighbours and their distance in Å.
Fractional positions:
Au  0.0000  0.0000  0.9969  6 Os 2.85-2.97, 6 Tc 2.86-2.96, 2 Au 2.88
Os  0.3333  0.6667  0.5413  3 Tc 2.54
Tc  0.6667  0.3333  0.4619  3 Os 2.54

Computed properties:
SG: P3m1
D(E_F), states/eV per cell: 1.45
DFT formation energy, eV/atom: 0.53



[7]
LiHg2B | PBE | optimized geometry

Cell: 5.5636 5.5636 7.5047 Å, 68.24 68.24 90.00°
Last column: nearest neighbours and their distance in Å.
Fractional positions:
B  0.0000  0.0000  0.0000  4 Hg 2.22
B  0.7500  0.2500  0.5000  4 Hg 2.22
Hg  0.7573  0.1250  0.2500  2 B 2.22
Hg  0.9927  0.6250  0.2500  2 B 2.22
Hg  0.3750  0.2427  0.7500  2 B 2.22
Hg  0.8750  0.0073  0.7500  2 B 2.22
Li  0.5000  0.5000  0.0000  4 Hg 3.00
Li  0.2500  0.7500  0.5000  4 Hg 3.00

Computed properties:
SG: I-42d
D(E_F), states/eV per cell: 0.03
DFT formation energy, eV/atom: 0.53



[8]
Rb2TeI | PBE | optimized geometry

Cell: 5.7398 9.3923 9.2296 Å, 59.41 90.00 90.00°
Last column: nearest neighbours and their distance in Å.
Fractional positions:
Rb  0.2500  0.1104  0.2648  1 Te 3.50, 3 I 3.80-3.82
Rb  0.2500  0.6248  0.2648  1 Te 3.50, 3 I 3.80-3.82
Rb  0.7500  0.8896  0.7352  1 Te 3.50, 3 I 3.80-3.82
Rb  0.7500  0.3752  0.7352  1 Te 3.50, 3 I 3.80-3.82
Te  0.7500  0.9650  0.0700  2 Te 3.08
Te  0.2500  0.0350  0.9300  2 Te 3.08
I  0.7500  0.3237  0.3526  6 Rb 3.80-3.82
I  0.2500  0.6763  0.6474  6 Rb 3.80-3.82

Computed properties:
SG: Cmcm
Energy relative to the elements, uncorrected, eV/atom: -1.0912
D(E_F), states/eV per cell: 2.44



no.,total magnetization (μB/cell),total energy (Ha/atom)
1,0.6,-0.15044
2,0.0,-0.31650
3,5.6,-0.31887
4,4.9,-0.19952
5,0.0,-0.16679
6,0.0,-0.28535
7,0.0,-0.06504
8,0.0,-0.10099